*A*
The following is a DFT calculation (PBE) of crystalline PWAu2 at its relaxed geometry.

```
PWAu2
1.0
1.5745 4.1183 -0.0130
-1.5745 4.1183 -0.0130
0.0000 0.6849 5.5319
Au W P
2 1 1
Direct
0.2732 0.2732 0.2505 Au
0.0192 0.0192 0.9796 Au
0.7469 0.7469 0.6764 W
0.4606 0.4606 0.5935 P
```

- Fermi-level density of states (states/eV per cell) = 2.2
- space-group type = Cm, No. 8
- volume (Å³ per cell) = 71.8


*B*
The following is a DFT calculation (PBE) of crystalline PWAu2 at its relaxed geometry.

```
PWAu2
1.0
8.7499 -1.4997 -0.0021
8.7499 1.4997 -0.0021
8.4935 0.0000 2.5828
W Au P
1 2 1
Direct
0.2406 0.2406 0.2406 W
0.7541 0.7541 0.7541 Au
0.9954 0.9954 0.9954 Au
0.5099 0.5099 0.5099 P
```

- Fermi-level density of states (states/eV per cell) = 2.4
- space-group type = R3m, No. 160
- volume (Å³ per cell) = 67.8


Pick the most stable structure from those above. Pick: *B*